{"formula": "Sm4Cd5In", "functional": "PBE", "state": "optimized geometry", "ef_kcal_per_mol_atoms": -7.82, "lattice": [[-1.572, -4.981, -0.022], [1.476, -0.437, -6.406], [7.515, 0.350, 3.821]], "species": ["Sm", "Sm", "Sm", "Sm", "Cd", "Cd", "Cd", "Cd", "Cd", "In"], "frac_coords": [[0.691, 0.322, 0.382], [0.097, 0.868, 0.194], [0.309, 0.678, 0.618], [0.903, 0.132, 0.806], [0.291, 0.173, 0.583], [0.097, 0.393, 0.193], [0.903, 0.607, 0.807], [0.500, 0.500, 0.000], [0.709, 0.827, 0.417], [0.500, 0.000, 0.000]]}